5
Lattice="-2.244 3.713 -2.683 2.613 -1.417 -4.145 -3.762 -3.198 -1.279" Properties=species:S:1:pos:R:3 comment="TlGeSe3 PBE-GGA optimized geometry" dos_at_fermi_per_ev_cell=3.85 space_group="No. 221" pbc="T T T"
Tl -1.697 -0.451 -4.053
Ge 0.000 0.000 0.000
Se 1.306 -0.708 -2.073
Se -1.881 -1.599 -0.639
Se -1.122 1.856 -1.341

36
Lattice="11.340 0.003 -0.073 0.055 11.340 -0.073 1.805 1.797 8.882" Properties=species:S:1:pos:R:3 comment="Tl2Ge2Se5 PBE-GGA optimized geometry" e_above_lowest_polymorph_mev_per_atom=0 space_group="No. 15" pbc="T T T"
Tl 6.762 3.895 7.916
Tl 10.176 7.294 5.260
Tl 6.439 9.244 0.820
Tl 3.024 5.845 3.475
Tl 10.130 11.602 5.144
Tl 2.454 3.961 8.032
Tl 3.070 1.538 3.591
Tl 10.746 9.178 0.703
Ge 6.703 3.755 3.555
Ge 8.512 5.555 0.740
Ge 6.497 9.385 5.181
Ge 4.688 7.584 7.996
Ge 4.713 11.427 7.840
Ge 2.654 9.377 5.336
Ge 8.487 1.713 0.895
Ge 10.546 3.762 3.400
Se 6.542 1.689 2.299
Se 10.578 5.707 1.996
Se 6.658 11.450 6.436
Se 2.622 7.433 6.740
Se 4.516 9.409 3.803
Se 2.868 7.769 0.491
Se 8.684 3.730 4.932
Se 10.333 5.371 8.244
Se 4.865 3.768 4.990
Se 10.313 9.191 8.186
Se 8.336 9.372 3.745
Se 2.888 3.949 0.549
Se 10.360 12.971 8.350
Se 1.084 3.737 4.826
Se 2.840 0.169 0.385
Se 12.116 9.402 3.909
Se 10.572 1.677 2.147
Se 2.628 11.463 6.588
Se 6.571 5.696 2.147
Se 6.629 7.443 6.588

12
Lattice="-1.838 -3.581 -2.346 2.717 -2.594 6.456 -11.076 4.222 2.237" Properties=species:S:1:pos:R:3 comment="Tl5Ge2Se5 PBE-GGA optimized geometry" dos_at_fermi_per_ev_cell=0.99 space_group="No. 12" pbc="T T T"
Tl -6.457 0.320 -0.054
Tl -0.990 -2.922 0.611
Tl -3.941 -2.499 2.277
Tl -6.257 0.546 4.071
Tl -9.208 0.969 5.737
Ge -8.688 3.010 2.214
Ge -1.510 -4.963 4.134
Se -3.781 0.641 1.985
Se -9.230 0.442 1.933
Se -0.967 -2.395 4.414
Se -6.417 -2.594 4.363
Se 0.000 0.000 0.000

Summary of total magnetization in μB/f.u.
0.00, 0.00, 0.00
(order as listed above)
Summary of formation energy (no corrections) in eV per atom
0.055, -0.357, -0.311
(order as listed above)
Summary of VASP energy in eV per atom
-3.43, -3.84, -3.52
(order as listed above)